Density functional theory data (GGA-PBE) for a relaxed Ta3NbB crystal.

Uncorrected energy (eV per cell): -52.23
Energy relative to the elements (eV/f.u.): 0.08

Cell and atoms, written as CIF:
```
data_Ta3NbB
_symmetry_space_group_name_H-M 'P m -3 m'
_symmetry_Int_Tables_number 221
_symmetry_space_group_name_Hall '-P 4 2 3'
_cell_length_a 4.396
_cell_length_b 4.396
_cell_length_c 4.396
_cell_angle_alpha 90.00
_cell_angle_beta 90.00
_cell_angle_gamma 90.00
loop_
_atom_site_label
_atom_site_type_symbol
_atom_site_fract_x
_atom_site_fract_y
_atom_site_fract_z
Ta1 Ta 0.000 0.000 0.500
Nb1 Nb 0.500 0.500 0.500
B1 B 0.000 0.000 0.000
```

---

Density functional theory data (GGA-PBE) for a relaxed Ta2NbB2 crystal.

Uncorrected energy (eV per cell): -100.89
Energy relative to the elements (eV/f.u.): -3.31

Cell and atoms, written as CIF:
```
data_Ta2NbB2
_symmetry_space_group_name_H-M 'P 4/m b m'
_symmetry_Int_Tables_number 127
_symmetry_space_group_name_Hall '-P 4 2ab'
_cell_length_a 6.224
_cell_length_b 6.224
_cell_length_c 3.296
_cell_angle_alpha 90.00
_cell_angle_beta 90.00
_cell_angle_gamma 90.00
loop_
_atom_site_label
_atom_site_type_symbol
_atom_site_fract_x
_atom_site_fract_y
_atom_site_fract_z
Ta1 Ta 0.178 0.322 0.000
Nb1 Nb 0.000 0.000 0.500
B1 B 0.107 0.607 0.500
```

---

Density functional theory data (GGA-PBE) for a relaxed TaNb2B2 crystal.

Uncorrected energy (eV per cell): -186.83
Energy relative to the elements (eV/f.u.): -1.36

Cell and atoms, written as CIF:
```
data_TaNb2B2
_symmetry_space_group_name_H-M 'I b a m'
_symmetry_Int_Tables_number 72
_symmetry_space_group_name_Hall '-I 2 2c'
_cell_length_a 6.529
_cell_length_b 8.555
_cell_length_c 4.977
_cell_angle_alpha 90.00
_cell_angle_beta 90.00
_cell_angle_gamma 90.00
loop_
_atom_site_label
_atom_site_type_symbol
_atom_site_fract_x
_atom_site_fract_y
_atom_site_fract_z
Ta1 Ta 0.000 0.000 0.250
Nb1 Nb 0.135 0.345 0.000
B1 B 0.220 0.395 0.500
```

---

Density functional theory data (GGA-PBE) for a relaxed TaNb3B4 crystal.

Uncorrected energy (eV per cell): -144.36
Energy relative to the elements (eV/f.u.): -3.41

Cell and atoms, written as CIF:
```
data_TaNb3B4
_symmetry_space_group_name_H-M 'I m m m'
_symmetry_Int_Tables_number 71
_symmetry_space_group_name_Hall '-I 2 2'
_cell_length_a 3.277
_cell_length_b 4.827
_cell_length_c 12.686
_cell_angle_alpha 90.00
_cell_angle_beta 90.00
_cell_angle_gamma 90.00
loop_
_atom_site_label
_atom_site_type_symbol
_atom_site_fract_x
_atom_site_fract_y
_atom_site_fract_z
Ta1 Ta 0.000 0.000 0.000
Nb1 Nb 0.000 0.000 0.500
Nb2 Nb 0.000 0.500 0.303
B1 B 0.000 0.323 0.133
```

---

Density functional theory data (GGA-PBE) for a relaxed TaNbB crystal.

Uncorrected energy (eV per cell): -120.73
Energy relative to the elements (eV/f.u.): -1.58

Cell and atoms, written as CIF:
```
data_TaNbB
_symmetry_space_group_name_H-M 'C m c m'
_symmetry_Int_Tables_number 63
_symmetry_space_group_name_Hall '-C 2c 2'
_cell_length_a 3.312
_cell_length_b 15.666
_cell_length_c 3.202
_cell_angle_alpha 90.00
_cell_angle_beta 90.00
_cell_angle_gamma 90.00
loop_
_atom_site_label
_atom_site_type_symbol
_atom_site_fract_x
_atom_site_fract_y
_atom_site_fract_z
Ta1 Ta 0.000 0.197 0.250
Nb1 Nb 0.000 0.417 0.250
B1 B 0.000 0.032 0.250
```

---

Density functional theory data (GGA-PBE) for a relaxed TaNbB crystal.

Uncorrected energy (eV per cell): -178.28
Energy relative to the elements (eV/f.u.): -1.11

Cell and atoms, written as CIF:
```
data_TaNbB
_symmetry_space_group_name_H-M 'P m m a'
_symmetry_Int_Tables_number 51
_symmetry_space_group_name_Hall '-P 2a 2a'
_cell_length_a 11.000
_cell_length_b 3.292
_cell_length_c 6.971
_cell_angle_alpha 90.00
_cell_angle_beta 90.00
_cell_angle_gamma 90.00
loop_
_atom_site_label
_atom_site_type_symbol
_atom_site_fract_x
_atom_site_fract_y
_atom_site_fract_z
Ta1 Ta 0.046 0.000 0.196
Ta2 Ta 0.250 0.000 0.858
Nb1 Nb 0.111 0.500 0.580
Nb2 Nb 0.250 0.500 0.204
B1 B 0.089 0.500 0.949
B2 B 0.250 0.000 0.464
```

---

Density functional theory data (GGA-PBE) for a relaxed TaNb3B crystal.

Uncorrected energy (eV per cell): -37.23
Energy relative to the elements (eV/f.u.): 11.51

Cell and atoms, written as CIF:
```
data_TaNb3B
_symmetry_space_group_name_H-M 'P m -3 m'
_symmetry_Int_Tables_number 221
_symmetry_space_group_name_Hall '-P 4 2 3'
_cell_length_a 4.852
_cell_length_b 4.852
_cell_length_c 4.852
_cell_angle_alpha 90.00
_cell_angle_beta 90.00
_cell_angle_gamma 90.00
loop_
_atom_site_label
_atom_site_type_symbol
_atom_site_fract_x
_atom_site_fract_y
_atom_site_fract_z
Ta1 Ta 0.000 0.000 0.000
Nb1 Nb 0.000 0.000 0.500
B1 B 0.500 0.500 0.500
```

---

Density functional theory data (GGA-PBE) for a relaxed Ta2NbB2 crystal.

Uncorrected energy (eV per cell): -183.65
Energy relative to the elements (eV/f.u.): 1.22

Cell and atoms, written as CIF:
```
data_Ta2NbB2
_symmetry_space_group_name_H-M 'C m c m'
_symmetry_Int_Tables_number 63
_symmetry_space_group_name_Hall '-C 2c 2'
_cell_length_a 4.849
_cell_length_b 13.111
_cell_length_c 4.454
_cell_angle_alpha 90.00
_cell_angle_beta 90.00
_cell_angle_gamma 90.00
loop_
_atom_site_label
_atom_site_type_symbol
_atom_site_fract_x
_atom_site_fract_y
_atom_site_fract_z
Ta1 Ta 0.000 0.112 0.250
Ta2 Ta 0.000 0.279 0.750
Nb1 Nb 0.000 0.500 0.000
B1 B 0.187 0.348 0.250
```

---

Density functional theory data (GGA-PBE) for a relaxed TaNb3B crystal.

Uncorrected energy (eV per cell): -48.32
Energy relative to the elements (eV/f.u.): 0.42

Cell and atoms, written as CIF:
```
data_TaNb3B
_symmetry_space_group_name_H-M 'P m -3 m'
_symmetry_Int_Tables_number 221
_symmetry_space_group_name_Hall '-P 4 2 3'
_cell_length_a 4.405
_cell_length_b 4.405
_cell_length_c 4.405
_cell_angle_alpha 90.00
_cell_angle_beta 90.00
_cell_angle_gamma 90.00
loop_
_atom_site_label
_atom_site_type_symbol
_atom_site_fract_x
_atom_site_fract_y
_atom_site_fract_z
Ta1 Ta 0.000 0.000 0.000
Nb1 Nb 0.000 0.500 0.500
B1 B 0.500 0.500 0.500
```

---

Density functional theory data (GGA-PBE) for a relaxed Ta3NbB crystal.

Uncorrected energy (eV per cell): -39.67
Energy relative to the elements (eV/f.u.): 12.63

Cell and atoms, written as CIF:
```
data_Ta3NbB
_symmetry_space_group_name_H-M 'P m -3 m'
_symmetry_Int_Tables_number 221
_symmetry_space_group_name_Hall '-P 4 2 3'
_cell_length_a 4.840
_cell_length_b 4.840
_cell_length_c 4.840
_cell_angle_alpha 90.00
_cell_angle_beta 90.00
_cell_angle_gamma 90.00
loop_
_atom_site_label
_atom_site_type_symbol
_atom_site_fract_x
_atom_site_fract_y
_atom_site_fract_z
Ta1 Ta 0.000 0.000 0.500
Nb1 Nb 0.000 0.000 0.000
B1 B 0.500 0.500 0.500
```

---

Density functional theory data (GGA-PBE) for a relaxed TaNbB crystal.

Uncorrected energy (eV per cell): -118.19
Energy relative to the elements (eV/f.u.): -0.95

Cell and atoms, written as CIF:
```
data_TaNbB
_symmetry_space_group_name_H-M 'P 1 21/c 1'
_symmetry_Int_Tables_number 14
_symmetry_space_group_name_Hall '-P 2ybc'
_cell_length_a 5.177
_cell_length_b 6.569
_cell_length_c 5.694
_cell_angle_alpha 90.00
_cell_angle_beta 111.24
_cell_angle_gamma 90.00
loop_
_atom_site_label
_atom_site_type_symbol
_atom_site_fract_x
_atom_site_fract_y
_atom_site_fract_z
Ta1 Ta 0.248 0.124 0.497
Nb1 Nb 0.250 0.626 0.501
B1 B 0.003 0.125 0.750
```

---

Density functional theory data (GGA-PBE) for a relaxed TaNb2B2 crystal.

Uncorrected energy (eV per cell): -97.29
Energy relative to the elements (eV/f.u.): -3.30

Cell and atoms, written as CIF:
```
data_TaNb2B2
_symmetry_space_group_name_H-M 'P 4/m b m'
_symmetry_Int_Tables_number 127
_symmetry_space_group_name_Hall '-P 4 2ab'
_cell_length_a 6.221
_cell_length_b 6.221
_cell_length_c 3.318
_cell_angle_alpha 90.00
_cell_angle_beta 90.00
_cell_angle_gamma 90.00
loop_
_atom_site_label
_atom_site_type_symbol
_atom_site_fract_x
_atom_site_fract_y
_atom_site_fract_z
Ta1 Ta 0.000 0.000 0.000
Nb1 Nb 0.177 0.323 0.500
B1 B 0.107 0.607 0.000
```

---

Density functional theory data (GGA-PBE) for a relaxed Ta3Nb3B4 crystal.

Uncorrected energy (eV per cell): -198.14
Energy relative to the elements (eV/f.u.): -6.59

Cell and atoms, written as CIF:
```
data_Ta3Nb3B4
_symmetry_space_group_name_H-M 'A m m 2'
_symmetry_Int_Tables_number 38
_symmetry_space_group_name_Hall 'A 2 -2'
_cell_length_a 3.300
_cell_length_b 8.786
_cell_length_c 8.823
_cell_angle_alpha 90.00
_cell_angle_beta 90.00
_cell_angle_gamma 90.00
loop_
_atom_site_label
_atom_site_type_symbol
_atom_site_fract_x
_atom_site_fract_y
_atom_site_fract_z
Ta1 Ta 0.000 0.000 0.000
Ta2 Ta 0.000 0.178 0.678
Nb1 Nb 0.000 0.000 0.355
Nb2 Nb 0.500 0.249 0.428
B1 B 0.500 0.000 0.573
B2 B 0.500 0.000 0.785
B3 B 0.500 0.107 0.176
```

---

Density functional theory data (GGA-PBE) for a relaxed ZrTaNbB2 crystal.

Uncorrected energy (eV per cell): -36.49
Energy relative to the elements (eV/f.u.): 7.34

Cell and atoms, written as CIF:
```
data_ZrTaNbB2
_symmetry_space_group_name_H-M 'P 4/m m m'
_symmetry_Int_Tables_number 123
_symmetry_space_group_name_Hall '-P 4 2'
_cell_length_a 4.269
_cell_length_b 4.269
_cell_length_c 5.024
_cell_angle_alpha 90.00
_cell_angle_beta 90.00
_cell_angle_gamma 90.00
loop_
_atom_site_label
_atom_site_type_symbol
_atom_site_fract_x
_atom_site_fract_y
_atom_site_fract_z
Zr1 Zr 0.000 0.000 0.000
Ta1 Ta 0.000 0.000 0.500
Nb1 Nb 0.500 0.500 0.000
B1 B 0.000 0.500 0.500
```

---

Density functional theory data (GGA-PBE) for a relaxed TbNbB crystal.

Uncorrected energy (eV per cell): -130.67
Energy relative to the elements (eV/f.u.): -0.40

Cell and atoms, written as CIF:
```
data_TbNbB
_symmetry_space_group_name_H-M 'R -3 m'
_symmetry_Int_Tables_number 166
_symmetry_space_group_name_Hall '-R 3 2"'
_cell_length_a 3.6060
_cell_length_b 3.6060
_cell_length_c 31.4177
_cell_angle_alpha 90.00
_cell_angle_beta 90.00
_cell_angle_gamma 120.00
loop_
_atom_site_label
_atom_site_type_symbol
_atom_site_fract_x
_atom_site_fract_y
_atom_site_fract_z
Tb1 Tb 0.0000 0.0000 0.1112
Nb1 Nb 0.0000 0.0000 0.3638
B1 B 0.0000 0.0000 0.2732
```

---

Density functional theory data (GGA-PBE) for a relaxed TbNbB2 crystal.

Uncorrected energy (eV per cell): -85.73
Energy relative to the elements (eV/f.u.): -0.52

Cell and atoms, written as CIF:
```
data_TbNbB2
_symmetry_space_group_name_H-M 'R -3 m'
_symmetry_Int_Tables_number 166
_symmetry_space_group_name_Hall '-R 3 2"'
_cell_length_a 3.4594
_cell_length_b 3.4594
_cell_length_c 17.6767
_cell_angle_alpha 90.00
_cell_angle_beta 90.00
_cell_angle_gamma 120.00
loop_
_atom_site_label
_atom_site_type_symbol
_atom_site_fract_x
_atom_site_fract_y
_atom_site_fract_z
Tb1 Tb 0.0000 0.0000 0.0000
Nb1 Nb 0.0000 0.0000 0.5000
B1 B 0.0000 0.0000 0.2347
```

---

Density functional theory data (GGA-PBE) for a relaxed NbTcB2 crystal.

Uncorrected energy (eV per cell): -72.06
Energy relative to the elements (eV/f.u.): -2.24

Cell and atoms, written as CIF:
```
data_NbTcB2
_symmetry_space_group_name_H-M 'P m c 21'
_symmetry_Int_Tables_number 26
_symmetry_space_group_name_Hall 'P 2c -2'
_cell_length_a 3.056
_cell_length_b 4.604
_cell_length_c 6.126
_cell_angle_alpha 90.00
_cell_angle_beta 90.00
_cell_angle_gamma 90.00
loop_
_atom_site_label
_atom_site_type_symbol
_atom_site_fract_x
_atom_site_fract_y
_atom_site_fract_z
Nb1 Nb 0.000 0.132 0.000
Tc1 Tc 0.500 0.361 0.643
B1 B 0.000 0.360 0.354
B2 B 0.500 0.170 0.295
```

---

Density functional theory data (GGA-PBE) for a relaxed NbTcB2 crystal.

Uncorrected energy (eV per cell): -133.96
Energy relative to the elements (eV/f.u.): 0.30

Cell and atoms, written as CIF:
```
data_NbTcB2
_symmetry_space_group_name_H-M 'F m -3 m'
_symmetry_Int_Tables_number 225
_symmetry_space_group_name_Hall '-F 4 2 3'
_cell_length_a 5.613
_cell_length_b 5.613
_cell_length_c 5.613
_cell_angle_alpha 90.00
_cell_angle_beta 90.00
_cell_angle_gamma 90.00
loop_
_atom_site_label
_atom_site_type_symbol
_atom_site_fract_x
_atom_site_fract_y
_atom_site_fract_z
Nb1 Nb 0.000 0.000 0.000
Tc1 Tc 0.000 0.000 0.500
B1 B 0.250 0.250 0.250
```

---

Density functional theory data (GGA-PBE) for a relaxed NbTc3B crystal.

Uncorrected energy (eV per cell): -48.24
Energy relative to the elements (eV/f.u.): -0.39

Cell and atoms, written as CIF:
```
data_NbTc3B
_symmetry_space_group_name_H-M 'P m -3 m'
_symmetry_Int_Tables_number 221
_symmetry_space_group_name_Hall '-P 4 2 3'
_cell_length_a 4.137
_cell_length_b 4.137
_cell_length_c 4.137
_cell_angle_alpha 90.00
_cell_angle_beta 90.00
_cell_angle_gamma 90.00
loop_
_atom_site_label
_atom_site_type_symbol
_atom_site_fract_x
_atom_site_fract_y
_atom_site_fract_z
Nb1 Nb 0.000 0.000 0.000
Tc1 Tc 0.000 0.500 0.500
B1 B 0.500 0.500 0.500
```

---

Density functional theory data (GGA-PBE) for a relaxed Nb2TcB2 crystal.

Uncorrected energy (eV per cell): -94.41
Energy relative to the elements (eV/f.u.): -3.34

Cell and atoms, written as CIF:
```
data_Nb2TcB2
_symmetry_space_group_name_H-M 'P 4/m b m'
_symmetry_Int_Tables_number 127
_symmetry_space_group_name_Hall '-P 4 2ab'
_cell_length_a 6.054
_cell_length_b 6.054
_cell_length_c 3.311
_cell_angle_alpha 90.00
_cell_angle_beta 90.00
_cell_angle_gamma 90.00
loop_
_atom_site_label
_atom_site_type_symbol
_atom_site_fract_x
_atom_site_fract_y
_atom_site_fract_z
Nb1 Nb 0.176 0.324 0.000
Tc1 Tc 0.000 0.000 0.500
B1 B 0.111 0.611 0.500
```